[1]
The following is a DFT calculation (PBE-GGA) of a relaxed structure of Tm6Mg7.

Calculated values
Formation enthalpy at 0 K (eV/atom): -0.02
Total DFT energy (no corrections) (eV/atom): -2.938
Space-group type: No. 166

abc: 5.9621 5.9621 11.6963
angles: 75.23 75.23 60.00
Sites, in units of the cell vectors:
Tm1 0.8342 0.8342 0.4975
Tm2 0.1658 0.1658 0.5025
Tm3 0.6508 0.6508 0.0475
Tm4 0.3492 0.3492 0.9525
Tm5 0.5469 0.5469 0.3592
Tm6 0.4531 0.4531 0.6408
Mg1 0.0000 0.0000 0.0000
Mg2 0.9059 0.4115 0.7767
Mg3 0.4115 0.9059 0.7767
Mg4 0.9059 0.9059 0.7767
Mg5 0.0941 0.0941 0.2233
Mg6 0.0941 0.5885 0.2233
Mg7 0.5885 0.0941 0.2233



[2]
The following is a DFT calculation (PBE-GGA) of a relaxed structure of SrErAgPb.

Calculated values
Formation enthalpy at 0 K (eV/atom): -0.37
Total DFT energy (no corrections) (eV/atom): -3.573
Space-group type: No. 216

abc: 5.4527 5.4527 5.4527
angles: 60.00 60.00 60.00
Sites, in units of the cell vectors:
Pb1 0.0000 0.0000 0.0000
Sr1 0.2500 0.2500 0.2500
Ag1 0.5000 0.5000 0.5000
Er1 0.7500 0.7500 0.7500



[3]
The following is a DFT calculation (PBE-GGA) of a relaxed structure of Pm8RhAu2.

Calculated values
Formation enthalpy at 0 K (eV/atom): -0.36
Relative energy among the computed polymorphs (meV/atom): 64
Total DFT energy (no corrections) (eV/atom): -5.076
Space-group type: No. 8

abc: 6.1738 9.1640 9.1640
angles: 131.35 102.73 102.73
Sites, in units of the cell vectors:
Pm1 0.6407 0.4058 0.1666
Pm2 0.6407 0.1666 0.4058
Pm3 0.0999 0.2600 0.2600
Pm4 0.9796 0.1920 0.7996
Pm5 0.9796 0.7996 0.1920
Pm6 0.7791 0.7259 0.7259
Pm7 0.3086 0.8433 0.6126
Pm8 0.3086 0.6126 0.8433
Rh1 0.2996 0.0106 0.0106
Au1 0.4816 0.7393 0.2781
Au2 0.4816 0.2781 0.7393



[4]
The following is a DFT calculation (PBE-GGA) of a relaxed structure of ScS8.

Calculated values
Formation energy (no corrections) (eV per formula unit): 2.08
Total DFT energy (no corrections) (eV/atom): -4.141
Space-group type: No. 139

abc: 4.1115 7.5475 7.5475
angles: 85.75 74.19 74.19
Sites, in units of the cell vectors:
Sc1 0.0000 0.0000 0.0000
S1 0.6185 0.0000 0.7630
S2 0.3815 0.0000 0.2370
S3 0.0000 0.3982 0.6018
S4 0.3815 0.2370 0.0000
S5 0.6018 0.3982 0.3982
S6 0.6185 0.7630 0.0000
S7 0.0000 0.6018 0.3982
S8 0.3982 0.6018 0.6018



[5]
The following is a DFT calculation (PBE-GGA) of a relaxed structure of SrCaCd2Hg4.

Calculated values
Formation enthalpy at 0 K (eV/atom): -0.37
Total DFT energy (no corrections) (eV/atom): -1.209
Space-group type: No. 166

abc: 5.2674 5.2674 9.1668
angles: 73.30 73.30 60.00
Sites, in units of the cell vectors:
Sr1 0.0000 0.0000 0.0000
Ca1 0.5000 0.5000 0.5000
Cd1 0.7507 0.7507 0.7478
Cd2 0.2493 0.2493 0.2522
Hg1 0.3790 0.3790 0.8631
Hg2 0.8719 0.8719 0.3844
Hg3 0.1281 0.1281 0.6156
Hg4 0.6210 0.6210 0.1369



[6]
The following is a DFT calculation (PBE-GGA) of a relaxed structure of NaTi2OsO8.

Calculated values
Formation energy (no corrections) (eV per formula unit): -24.23
Total DFT energy (no corrections) (eV/atom): -7.686
Space-group type: No. 65

abc: 4.6945 4.6889 6.2354
angles: 90.00 90.00 88.20
Sites, in units of the cell vectors:
Na1 0.0000 0.0000 0.5000
Ti1 0.5000 0.5000 0.7307
Ti2 0.5000 0.5000 0.2693
Os1 0.0000 0.0000 0.0000
O1 0.2071 0.7917 0.2089
O2 0.7112 0.7123 0.0000
O3 0.7929 0.2083 0.2089
O4 0.7929 0.2083 0.7911
O5 0.2888 0.2877 0.0000
O6 0.2071 0.7917 0.7911
O7 0.6774 0.6788 0.5000
O8 0.3226 0.3212 0.5000



[7]
The following is a DFT calculation (PBE-GGA) of a relaxed structure of RuS.

Calculated values
Formation energy (no corrections) (eV per formula unit): -0.26
Total DFT energy (no corrections) (eV/atom): -6.829
Space-group type: No. 9

abc: 6.0912 6.1731 3.7325
angles: 90.00 112.77 90.00
Sites, in units of the cell vectors:
Ru1 0.5581 0.4704 0.3051
Ru2 0.0581 0.5296 0.8051
Ru3 0.5581 0.9704 0.8051
Ru4 0.0581 0.0296 0.3051
S1 0.4023 0.1349 0.2172
S2 0.9023 0.8651 0.7172
S3 0.4023 0.6349 0.7172
S4 0.9023 0.3651 0.2172



[8]
The following is a DFT calculation (PBE-GGA) of a relaxed structure of VHPdRu2.

Calculated values
Relative energy among the computed polymorphs (meV/atom): 19
Total DFT energy (no corrections) (eV/atom): -7.299
Space-group type: No. 123

abc: 3.9164 3.9164 3.8116
angles: 90.00 90.00 90.00
Sites, in units of the cell vectors:
Ru1 0.0000 0.5000 0.0000
Ru2 0.5000 0.0000 0.0000
H1 0.0000 0.0000 0.0000
Pd1 0.0000 0.0000 0.5000
V1 0.5000 0.5000 0.5000



[9]
The following is a DFT calculation (PBE-GGA) of a relaxed structure of LiYAs4.

Calculated values
Formation enthalpy at 0 K (eV/atom): -0.22
Total DFT energy (no corrections) (eV/atom): -4.716
Space-group type: No. 216

abc: 5.6398 5.6398 5.6398
angles: 60.00 60.00 60.00
Sites, in units of the cell vectors:
Li1 0.7500 0.7500 0.7500
Y1 0.0000 0.0000 0.0000
As1 0.8700 0.3767 0.3767
As2 0.3767 0.3767 0.8700
As3 0.3767 0.8700 0.3767
As4 0.3767 0.3767 0.3767



[10]
The following is a DFT calculation (PBE-GGA) of a relaxed structure of SiPd3F.

Calculated values
Relative energy among the computed polymorphs (meV/atom): 0
Formation energy (no corrections) (eV per formula unit): -0.20
Total DFT energy (no corrections) (eV/atom): -4.615
Space-group type: No. 221

abc: 4.5219 4.5219 4.5219
angles: 90.00 90.00 90.00
Sites, in units of the cell vectors:
Si1 0.0000 0.0000 0.0000
Pd1 0.0000 0.5000 0.0000
Pd2 0.0000 0.0000 0.5000
Pd3 0.5000 0.0000 0.0000
F1 0.5000 0.5000 0.5000



no.,volume (A^3/atom)
1,26.5
2,28.7
3,29.9
4,24.1
5,26.0
6,11.4
7,16.2
8,11.7
9,21.1
10,18.5